Here is a geometry-optimized Ca2HgSe structure from Alexandria. Energies are from GGA-PBEsol.

Lattice parameters (Å, degrees): 4.2366 4.2366 6.5707 108.81 108.81 90.00
Fractional coordinates of all 4 atoms:
Ca (0.0000, 0.0000, 0.0000)
Se (0.2500, 0.7500, 0.5000)
Ca (0.7500, 0.2500, 0.5000)
Hg (0.5000, 0.5000, 0.0000)

Results
D(E_F) (states/eV/f.u.): 2.26
Total DFT energy (no corrections) (eV/atom): -3.11
Symmetry: No. 119

---

Here is a geometry-optimized CaSi4Hg structure from Alexandria. Energies are from GGA-PBEsol.

Lattice parameters (Å, degrees): 5.3122 5.3122 5.3122 60.00 60.00 60.00
Fractional coordinates of all 6 atoms:
Si (0.3742, 0.3742, 0.8773)
Si (0.3742, 0.3742, 0.3742)
Hg (0.0000, 0.0000, 0.0000)
Ca (0.7500, 0.7500, 0.7500)
Si (0.8773, 0.3742, 0.3742)
Si (0.3742, 0.8773, 0.3742)

Results
D(E_F) (states/eV/f.u.): 2.44
Total DFT energy (no corrections) (eV/atom): -4.31
Symmetry: No. 216

---

Here is a geometry-optimized CaSi2Hg structure from Alexandria. Energies are from GGA-PBEsol.

Lattice parameters (Å, degrees): 3.7902 4.2138 6.4298 105.23 90.00 116.73
Fractional coordinates of all 4 atoms:
Hg (0.7399, 0.4798, 0.2020)
Si (0.9765, 0.9529, 0.9348)
Si (0.2715, 0.5431, 0.8354)
Ca (0.5121, 0.0242, 0.5278)

Results
D(E_F) (states/eV/f.u.): 1.25
Total DFT energy (no corrections) (eV/atom): -3.71
Symmetry: No. 8

---

Here is a geometry-optimized CaSiHg2 structure from Alexandria. Energies are from GGA-PBEsol.

Lattice parameters (Å, degrees): 4.3775 4.3775 5.5263 113.33 113.33 90.00
Fractional coordinates of all 4 atoms:
Hg (0.7500, 0.2500, 0.5000)
Si (0.5000, 0.5000, 0.0000)
Ca (0.2500, 0.7500, 0.5000)
Hg (0.0000, 0.0000, 0.0000)

Results
D(E_F) (states/eV/f.u.): 1.76
Total DFT energy (no corrections) (eV/atom): -2.40
Symmetry: No. 119

---

Here is a geometry-optimized CaSi2Hg structure from Alexandria. Energies are from GGA-PBEsol.

Lattice parameters (Å, degrees): 4.4711 4.4711 5.6536 66.71 66.71 60.00
Fractional coordinates of all 4 atoms:
Hg (0.0000, 0.0000, 0.0000)
Ca (0.5000, 0.5000, 0.5000)
Si (0.7111, 0.7111, 0.8668)
Si (0.2889, 0.2889, 0.1332)

Results
D(E_F) (states/eV/f.u.): 2.07
Total DFT energy (no corrections) (eV/atom): -3.53
Symmetry: No. 166

---

Here is a geometry-optimized CaSiHg3 structure from Alexandria. Energies are from GGA-PBEsol.

Lattice parameters (Å, degrees): 5.5162 5.5162 5.5162 90.00 90.00 90.00
Fractional coordinates of all 5 atoms:
Hg (0.0000, 0.5000, 0.0000)
Si (0.5000, 0.5000, 0.5000)
Ca (0.0000, 0.0000, 0.0000)
Hg (0.0000, 0.0000, 0.5000)
Hg (0.5000, 0.0000, 0.0000)

Results
D(E_F) (states/eV/f.u.): 5.43
Total DFT energy (no corrections) (eV/atom): -1.06
Symmetry: No. 221

---

Here is a geometry-optimized Ca2ZnSiHg structure from Alexandria. Energies are from GGA-PBEsol.

Lattice parameters (Å, degrees): 4.7313 5.7270 5.7270 90.00 90.00 90.00
Fractional coordinates of all 5 atoms:
Hg (0.0000, 0.0000, 0.0000)
Ca (0.0000, 0.0000, 0.5000)
Zn (0.5000, 0.5000, 0.5000)
Si (0.5000, 0.0000, 0.0000)
Ca (0.0000, 0.5000, 0.0000)

Results
D(E_F) (states/eV/f.u.): 2.35
Total DFT energy (no corrections) (eV/atom): -2.20
Symmetry: No. 123

---

Here is a geometry-optimized CaSmHg2 structure from Alexandria. Energies are from GGA-PBEsol.

Lattice parameters (Å, degrees): 5.2403 5.2403 5.2403 60.00 60.00 60.00
Fractional coordinates of all 4 atoms:
Ca (0.5000, 0.5000, 0.5000)
Sm (0.0000, 0.0000, 0.0000)
Hg (0.2500, 0.2500, 0.2500)
Hg (0.7500, 0.7500, 0.7500)

Results
D(E_F) (states/eV/f.u.): 2.58
Formation enthalpy at 0 K (meV per atom): -617
Symmetry: No. 225

---

Here is a geometry-optimized CaSnHg structure from Alexandria. Energies are from GGA-PBEsol.

Lattice parameters (Å, degrees): 3.6600 4.8802 4.8802 120.00 90.00 90.00
Fractional coordinates of all 3 atoms:
Ca (0.0000, 0.0000, 0.0000)
Sn (0.5000, 0.3333, 0.6667)
Hg (0.5000, 0.6667, 0.3333)

Results
D(E_F) (states/eV/f.u.): 1.48
Formation enthalpy at 0 K (meV per atom): -515
Symmetry: No. 187

---

Here is a geometry-optimized CaSnHg structure from Alexandria. Energies are from GGA-PBEsol.

Lattice parameters (Å, degrees): 4.7986 4.7986 7.6249 90.00 90.00 120.00
Fractional coordinates of all 6 atoms:
Ca (0.0000, 0.0000, 0.7499)
Sn (0.6667, 0.3333, 0.5372)
Hg (0.6667, 0.3333, 0.9379)
Ca (0.0000, 0.0000, 0.2499)
Sn (0.3333, 0.6667, 0.0372)
Hg (0.3333, 0.6667, 0.4379)

Results
D(E_F) (states/eV/f.u.): 0.34
Formation enthalpy at 0 K (meV per atom): -606
Symmetry: No. 186

---

Here is a geometry-optimized Ca2SnHg structure from Alexandria. Energies are from GGA-PBEsol.

Lattice parameters (Å, degrees): 5.3188 5.3188 5.3188 60.00 60.00 60.00
Fractional coordinates of all 4 atoms:
Sn (0.0000, 0.0000, 0.0000)
Ca (0.2500, 0.2500, 0.2500)
Hg (0.5000, 0.5000, 0.5000)
Ca (0.7500, 0.7500, 0.7500)

Results
D(E_F) (states/eV/f.u.): 0.59
Formation enthalpy at 0 K (meV per atom): -711
Symmetry: No. 225

---

Here is a geometry-optimized CaSnHg structure from Alexandria. Energies are from GGA-PBEsol.

Lattice parameters (Å, degrees): 4.7563 4.7563 15.8551 90.00 90.00 120.00
Fractional coordinates of all 12 atoms:
Hg (0.6667, 0.3333, 0.6480)
Ca (0.0000, 0.0000, 0.7500)
Ca (0.0000, 0.0000, 0.2500)
Ca (0.0000, 0.0000, 0.0000)
Sn (0.3333, 0.6667, 0.6065)
Sn (0.3333, 0.6667, 0.8935)
Hg (0.3333, 0.6667, 0.3520)
Sn (0.6667, 0.3333, 0.1065)
Hg (0.6667, 0.3333, 0.8520)
Hg (0.3333, 0.6667, 0.1480)
Ca (0.0000, 0.0000, 0.5000)
Sn (0.6667, 0.3333, 0.3935)

Results
D(E_F) (states/eV/f.u.): 1.19
Formation enthalpy at 0 K (meV per atom): -533
Symmetry: No. 194

---

| no. | spin magnetization (μB/cell) |
| --- | --- |
| 1 | 0.00 |
| 2 | 0.00 |
| 3 | 0.00 |
| 4 | 0.00 |
| 5 | 0.00 |
| 6 | 0.00 |
| 7 | 0.00 |
| 8 | 0.00 |
| 9 | 0.00 |
| 10 | 0.00 |
| 11 | 0.00 |
| 12 | 0.00 |